Arrangement P

Entry from Alexandria via LeMat-Bulk: a geometry-optimized LaDy4Ag structure (PBE-GGA). Values from VASP.

```
&SYSTEM
  ibrav = 0, nat = 6, ntyp = 3
/
ATOMIC_SPECIES
La 138.91 La.upf
Dy 162.50 Dy.upf
Ag 107.87 Ag.upf
CELL_PARAMETERS angstrom
3.615 0.000 0.000
0.000 3.615 0.000
0.000 0.000 13.819
ATOMIC_POSITIONS crystal
La 0.000 0.000 0.000
Dy 0.500 0.500 0.186
Dy 0.000 0.000 0.634
Dy 0.000 0.000 0.366
Dy 0.500 0.500 0.814
Ag 0.500 0.500 0.500
```

## Properties
- space-group type = P4/mmm (123)

Arrangement Q

Entry from Alexandria via LeMat-Bulk: a geometry-optimized LaDy4Ag structure (PBE-GGA). Values from VASP.

```
&SYSTEM
  ibrav = 0, nat = 12, ntyp = 3
/
ATOMIC_SPECIES
La 138.91 La.upf
Dy 162.50 Dy.upf
Ag 107.87 Ag.upf
CELL_PARAMETERS angstrom
5.454 0.000 0.000
0.000 6.523 0.000
-2.727 0.000 10.616
ATOMIC_POSITIONS crystal
La 0.864 0.721 0.729
La 0.136 0.221 0.271
Dy 0.933 0.210 0.866
Dy 0.067 0.710 0.134
Dy 0.468 0.868 0.935
Dy 0.532 0.368 0.065
Dy 0.673 0.576 0.345
Dy 0.327 0.076 0.655
Dy 0.741 0.092 0.483
Dy 0.259 0.592 0.517
Ag 0.602 0.967 0.205
Ag 0.398 0.467 0.795
```

## Properties
- space-group type = Cmc2_1 (36)

Quick one: least stable of them? arrangement Q

Arrangement P

Entry from Alexandria via LeMat-Bulk: a geometry-optimized LaSmDyAg structure (PBE-GGA). Values from VASP.

```
&SYSTEM
  ibrav = 0, nat = 4, ntyp = 4
/
ATOMIC_SPECIES
La 138.91 La.upf
Sm 150.36 Sm.upf
Dy 162.50 Dy.upf
Ag 107.87 Ag.upf
CELL_PARAMETERS angstrom
3.696 0.000 0.000
0.000 3.696 0.000
0.000 0.000 8.717
ATOMIC_POSITIONS crystal
La 0.000 0.000 0.076
Sm 0.500 0.500 0.780
Dy 0.500 0.500 0.366
Ag 0.000 0.000 0.563
```

## Properties
- space-group type = P4mm (99)

Arrangement Q

Entry from Alexandria via LeMat-Bulk: a geometry-optimized LaSmDyAg structure (PBE-GGA). Values from VASP.

```
&SYSTEM
  ibrav = 0, nat = 4, ntyp = 4
/
ATOMIC_SPECIES
La 138.91 La.upf
Ag 107.87 Ag.upf
Sm 150.36 Sm.upf
Dy 162.50 Dy.upf
CELL_PARAMETERS angstrom
5.510 0.000 0.000
2.755 4.772 0.000
2.755 1.591 4.499
ATOMIC_POSITIONS crystal
La 0.250 0.250 0.250
Ag 0.500 0.500 0.500
Sm 0.750 0.750 0.750
Dy 0.000 0.000 0.000
```

## Properties
- space-group type = F-43m (216)

Quick one: least stable of them? arrangement Q

Arrangement P

Entry from Alexandria via LeMat-Bulk: a geometry-optimized LaDyZnAg structure (PBE-GGA). Values from VASP.

```
&SYSTEM
  ibrav = 0, nat = 4, ntyp = 4
/
ATOMIC_SPECIES
La 138.91 La.upf
Dy 162.50 Dy.upf
Zn 65.41 Zn.upf
Ag 107.87 Ag.upf
CELL_PARAMETERS angstrom
-1.221 1.503 3.122
1.240 -2.901 1.882
6.589 3.419 0.932
ATOMIC_POSITIONS crystal
La 0.500 0.500 0.117
Dy 0.500 0.500 0.602
Zn 0.000 0.000 0.380
Ag 0.000 0.000 0.829
```

## Properties
- space-group type = P4mm (99)

Arrangement Q

Entry from Alexandria via LeMat-Bulk: a geometry-optimized LaDyZnAg structure (PBE-GGA). Values from VASP.

```
&SYSTEM
  ibrav = 0, nat = 4, ntyp = 4
/
ATOMIC_SPECIES
Zn 65.41 Zn.upf
La 138.91 La.upf
Ag 107.87 Ag.upf
Dy 162.50 Dy.upf
CELL_PARAMETERS angstrom
-0.128 4.333 -2.953
-2.541 -0.028 -4.589
-4.478 2.678 -0.535
ATOMIC_POSITIONS crystal
Zn 0.750 0.750 0.750
La 0.500 0.500 0.500
Ag 0.250 0.250 0.250
Dy 0.000 0.000 0.000
```

## Properties
- space-group type = F-43m (216)

Quick one: least stable of them? arrangement Q

Arrangement P

Entry from Alexandria via LeMat-Bulk: a geometry-optimized Li2DyAg2 structure (PBE-GGA). Values from VASP.

```
&SYSTEM
  ibrav = 0, nat = 10, ntyp = 3
/
ATOMIC_SPECIES
Li 6.94 Li.upf
Dy 162.50 Dy.upf
Ag 107.87 Ag.upf
CELL_PARAMETERS angstrom
6.022 0.000 1.819
2.764 4.745 1.729
0.970 0.610 7.666
ATOMIC_POSITIONS crystal
Li 0.214 0.203 0.552
Li 0.969 0.297 0.948
Li 0.786 0.797 0.448
Li 0.031 0.703 0.052
Dy 0.420 0.750 0.250
Dy 0.580 0.250 0.750
Ag 0.465 0.770 0.840
Ag 0.925 0.270 0.340
Ag 0.535 0.230 0.160
Ag 0.075 0.730 0.660
```

## Properties
- space-group type = C2/c (15)

Arrangement Q

Entry from Alexandria via LeMat-Bulk: a geometry-optimized Li2DyAg2 structure (PBE-GGA). Values from VASP.

```
&SYSTEM
  ibrav = 0, nat = 5, ntyp = 3
/
ATOMIC_SPECIES
Li 6.94 Li.upf
Dy 162.50 Dy.upf
Ag 107.87 Ag.upf
CELL_PARAMETERS angstrom
3.892 0.411 -0.173
-0.424 3.891 -0.173
-1.439 -1.786 6.823
ATOMIC_POSITIONS crystal
Li 0.249 0.751 0.500
Li 0.751 0.249 0.500
Dy 0.000 0.000 0.000
Ag 0.605 0.605 0.213
Ag 0.395 0.395 0.787
```

## Properties
- space-group type = C2/m (12)

Quick one: least stable of them? arrangement P

Arrangement P

Entry from Alexandria via LeMat-Bulk: a geometry-optimized LiDyAg4 structure (PBE-GGA). Values from VASP.

```
&SYSTEM
  ibrav = 0, nat = 6, ntyp = 3
/
ATOMIC_SPECIES
Li 6.94 Li.upf
Ag 107.87 Ag.upf
Dy 162.50 Dy.upf
CELL_PARAMETERS angstrom
5.570 0.000 0.000
2.785 4.823 0.000
2.785 1.608 4.548
ATOMIC_POSITIONS crystal
Li 0.000 0.000 0.000
Ag 0.625 0.625 0.124
Ag 0.625 0.124 0.625
Ag 0.625 0.625 0.625
Ag 0.124 0.625 0.625
Dy 0.250 0.250 0.250
```

## Properties
- space-group type = F-43m (216)

Arrangement Q

Entry from Alexandria via LeMat-Bulk: a geometry-optimized LiDyAg4 structure (PBE-GGA). Values from VASP.

```
&SYSTEM
  ibrav = 0, nat = 6, ntyp = 3
/
ATOMIC_SPECIES
Li 6.94 Li.upf
Dy 162.50 Dy.upf
Ag 107.87 Ag.upf
CELL_PARAMETERS angstrom
5.111 0.337 0.274
0.524 4.475 2.561
0.199 0.004 5.197
ATOMIC_POSITIONS crystal
Li 0.001 0.502 0.496
Dy 0.501 0.002 0.495
Ag 0.501 0.666 0.167
Ag 0.501 0.338 0.824
Ag 0.001 0.178 0.142
Ag 0.001 0.825 0.849
```

## Properties
- space-group type = C2/m (12)

Arrangement R

Entry from Alexandria via LeMat-Bulk: a geometry-optimized LiDyAg4 structure (PBE-GGA). Values from VASP.

```
&SYSTEM
  ibrav = 0, nat = 6, ntyp = 3
/
ATOMIC_SPECIES
Li 6.94 Li.upf
Dy 162.50 Dy.upf
Ag 107.87 Ag.upf
CELL_PARAMETERS angstrom
4.090 0.000 -0.001
0.000 4.095 -0.002
0.003 0.003 7.766
ATOMIC_POSITIONS crystal
Li 0.001 0.997 0.498
Dy 0.501 0.497 0.998
Ag 0.501 0.997 0.287
Ag 0.501 0.997 0.710
Ag 0.001 0.497 0.709
Ag 0.001 0.497 0.287
```

## Properties
- space-group type = P4/mmm (123)

Quick one: least stable of them? arrangement R

Arrangement P

Entry from Alexandria via LeMat-Bulk: a geometry-optimized Li2DyAg structure (PBE-GGA). Values from VASP.

```
&SYSTEM
  ibrav = 0, nat = 4, ntyp = 3
/
ATOMIC_SPECIES
Li 6.94 Li.upf
Dy 162.50 Dy.upf
Ag 107.87 Ag.upf
CELL_PARAMETERS angstrom
-3.093 3.088 -1.612
-4.371 -0.023 1.611
-1.299 3.919 3.269
ATOMIC_POSITIONS crystal
Li 0.005 0.005 0.984
Li 0.277 0.277 0.170
Dy 0.497 0.497 0.508
Ag 0.721 0.721 0.837
```

## Properties
- space-group type = R3m (160)

Arrangement Q

Entry from Alexandria via LeMat-Bulk: a geometry-optimized Li2DyAg structure (PBE-GGA). Values from VASP.

```
&SYSTEM
  ibrav = 0, nat = 4, ntyp = 3
/
ATOMIC_SPECIES
Li 6.94 Li.upf
Ag 107.87 Ag.upf
Dy 162.50 Dy.upf
CELL_PARAMETERS angstrom
-0.705 1.455 2.930
2.741 -1.374 1.342
3.881 5.828 -1.960
ATOMIC_POSITIONS crystal
Li 0.000 0.000 0.812
Li 0.000 0.000 0.188
Ag 0.500 0.500 0.000
Dy 0.500 0.500 0.500
```

## Properties
- space-group type = P4/mmm (123)

Arrangement R

Entry from Alexandria via LeMat-Bulk: a geometry-optimized Li2DyAg structure (PBE-GGA). Values from VASP.

```
&SYSTEM
  ibrav = 0, nat = 4, ntyp = 3
/
ATOMIC_SPECIES
Li 6.94 Li.upf
Ag 107.87 Ag.upf
Dy 162.50 Dy.upf
CELL_PARAMETERS angstrom
3.155 0.000 0.000
1.577 2.732 0.000
1.577 0.911 10.386
ATOMIC_POSITIONS crystal
Li 0.099 0.099 0.704
Li 0.901 0.901 0.296
Ag 0.500 0.500 0.500
Dy 0.000 0.000 0.000
```

## Properties
- space-group type = R-3m (166)

Arrangement S

Entry from Alexandria via LeMat-Bulk: a geometry-optimized Li2DyAg structure (PBE-GGA). Values from VASP.

```
&SYSTEM
  ibrav = 0, nat = 4, ntyp = 3
/
ATOMIC_SPECIES
Li 6.94 Li.upf
Ag 107.87 Ag.upf
Dy 162.50 Dy.upf
CELL_PARAMETERS angstrom
-4.256 -1.357 -1.776
-3.232 -2.120 2.858
-3.995 2.352 1.271
ATOMIC_POSITIONS crystal
Li 0.250 0.250 0.250
Li 0.750 0.750 0.750
Ag 0.000 0.000 0.000
Dy 0.500 0.500 0.500
```

## Properties
- space-group type = Fm-3m (225)

Quick one: least stable of them? arrangement R